Entry 1:
## NaRe2TcH (GGA-PBE)

Data for a relaxed NaRe2TcH crystal.

Values from the calculation:
V: 92.6 Å³/cell
uncorrected energy: -21.0 eV per formula unit
spin magnetization: 0.73 μB/atom

Lattice parameters (Å, degrees): 4.5362 4.5362 4.5010 90.00 90.00 90.00
With the nearest neighbours (Å) after each atom.
Space group P4/mmm (No. 123)
One atom of each set of equivalent atoms:
Na 0.0000 0.0000 0.0000 (multiplicity 1)  2 Tc 2.25, 4 Re 2.27
Re 0.0000 0.5000 0.0000 (multiplicity 2)  2 Na 2.27
Tc 0.0000 0.0000 0.5000 (multiplicity 1)  2 Na 2.25
H 0.5000 0.5000 0.5000 (multiplicity 1)  8 Re 3.20, 4 Tc 3.21



Entry 2:
## NaTl2ReH (GGA-PBE)

Data for a relaxed NaTl2ReH crystal.

Values from the calculation:
V: 90.4 Å³/cell
uncorrected energy: -18.5 eV per formula unit
spin magnetization: 0.00 μB/atom

Lattice parameters (Å, degrees): 5.0474 5.0474 3.5500 90.00 90.00 90.00
With the nearest neighbours (Å) after each atom.
Space group P4/mmm (No. 123)
One atom of each set of equivalent atoms:
Na 0.0000 0.0000 0.0000 (multiplicity 1)  8 Tl 3.09
Tl 0.0000 0.5000 0.5000 (multiplicity 2)  2 H 2.52
Re 0.5000 0.5000 0.0000 (multiplicity 1)  2 H 1.77
H 0.5000 0.5000 0.5000 (multiplicity 1)  2 Re 1.77